No. 1
Density functional theory data (PBE) for a relaxed Mg3TlGe crystal.

Cell lengths 5.129, 5.129, 5.129 Å; angles 90.00, 90.00, 90.00 degrees
Element x y z (fractional)
Mg 0.000 0.000 0.500
Mg 0.000 0.500 0.000
Mg 0.500 0.000 0.000
Tl 0.500 0.500 0.500
Ge 0.000 0.000 0.000

Properties
**Space-group type**: No. 221
**M_tot**: 0.00 μB/f.u.
**Calculated volume**: 26.98 A^3/atom
**Fermi-level density of states**: 0.44 states/eV/atom
**Energy relative to the elements**: 0.155 eV per atom

No. 2
Density functional theory data (PBE) for a relaxed In4Hg5I4 crystal.

Cell lengths 10.243, 10.243, 10.243 Å; angles 93.49, 93.49, 151.44 degrees
Element x y z (fractional)
In 0.105 0.778 0.883
In 0.222 0.105 0.327
In 0.778 0.895 0.673
In 0.895 0.222 0.117
Hg 0.000 0.000 0.000
Hg 0.334 0.557 0.892
Hg 0.443 0.334 0.777
Hg 0.557 0.666 0.223
Hg 0.666 0.443 0.108
I 0.143 0.337 0.480
I 0.337 0.857 0.194
I 0.663 0.143 0.806
I 0.857 0.663 0.520

Properties
**Space-group type**: No. 87
**M_tot**: 0.00 μB/f.u.
**Calculated volume**: 38.30 A^3/atom
**Formation energy without anion corrections**: -3.27 eV/f.u.

No. 3
Density functional theory data (PBE) for a relaxed Pm2HoUN4 crystal.

Cell lengths 6.020, 3.522, 6.113 Å; angles 90.00, 108.98, 90.00 degrees
Element x y z (fractional)
Pm 0.000 0.000 0.000
Pm 0.500 0.500 0.000
Ho 0.000 0.500 0.500
U 0.500 0.000 0.500
N 0.262 0.000 0.719
N 0.272 0.500 0.283
N 0.728 0.500 0.717
N 0.738 0.000 0.281

Properties
**Space-group type**: No. 10
**M_tot**: 0.52 μB/f.u.
**Calculated volume**: 15.32 A^3/atom
**Fermi-level density of states**: 0.64 states/eV/atom
**Formation energy without anion corrections**: -12.28 eV/f.u.

No. 4
Density functional theory data (PBE) for a relaxed DyZn2Co2Si crystal.

Cell lengths 4.223, 4.223, 5.557 Å; angles 90.00, 90.00, 90.00 degrees
Element x y z (fractional)
Dy 0.000 0.000 0.000
Zn 0.500 0.500 0.234
Zn 0.500 0.500 0.766
Co 0.000 0.500 0.500
Co 0.500 0.000 0.500
Si 0.000 0.000 0.500

Properties
**Space-group type**: No. 123
**M_tot**: 1.11 μB/f.u.
**Calculated volume**: 16.52 A^3/atom
**Fermi-level density of states**: 0.41 states/eV/atom
**Formation energy without anion corrections**: -1.17 eV/f.u.

No. 5
Density functional theory data (PBE) for a relaxed Cs3Er2PaS6 crystal.

Cell lengths 7.057, 7.057, 8.421 Å; angles 98.03, 98.03, 119.99 degrees
Element x y z (fractional)
Cs 0.000 0.000 0.000
Cs 0.332 0.668 0.000
Cs 0.668 0.332 0.000
Er 0.167 0.833 0.500
Er 0.833 0.167 0.500
Pa 0.500 0.500 0.500
S 0.106 0.440 0.319
S 0.227 0.227 0.682
S 0.440 0.106 0.319
S 0.560 0.894 0.681
S 0.773 0.773 0.318
S 0.894 0.560 0.681

Properties
**Space-group type**: No. 12
**M_tot**: 1.53 μB/f.u.
**Calculated volume**: 29.06 A^3/atom
**Fermi-level density of states**: 0.53 states/eV/atom
**Formation energy without anion corrections**: -20.13 eV/f.u.

No. 6
Density functional theory data (PBE) for a relaxed Co3Os crystal.

Cell lengths 3.586, 3.586, 3.586 Å; angles 90.00, 90.00, 90.00 degrees
Element x y z (fractional)
Co 0.000 0.000 0.500
Co 0.000 0.500 0.000
Co 0.500 0.000 0.000
Os 0.500 0.500 0.500

Properties
**Space-group type**: No. 221
**M_tot**: 3.09 μB/f.u.
**Calculated volume**: 11.52 A^3/atom
**Fermi-level density of states**: 1.48 states/eV/atom
**Energy relative to the elements**: 0.174 eV per atom

No. 7
Density functional theory data (PBE) for a relaxed LiZr2Au crystal.

Cell lengths 5.293, 5.293, 5.293 Å; angles 133.42, 133.42, 67.99 degrees
Element x y z (fractional)
Li 0.000 0.000 0.000
Zr 0.250 0.750 0.500
Zr 0.750 0.250 0.500
Au 0.500 0.500 0.000

Properties
**Space-group type**: No. 139
**M_tot**: 0.00 μB/f.u.
**Calculated volume**: 19.22 A^3/atom
**Fermi-level density of states**: 1.16 states/eV/atom
**Energy relative to the elements**: -0.160 eV per atom

No. 8
Density functional theory data (PBE) for a relaxed ThPaAl2 crystal.

Cell lengths 3.256, 3.256, 8.850 Å; angles 90.00, 90.00, 90.00 degrees
Element x y z (fractional)
Th 0.000 0.000 0.000
Pa 0.000 0.000 0.500
Al 0.500 0.500 0.259
Al 0.500 0.500 0.741

Properties
**Space-group type**: No. 123
**M_tot**: 0.00 μB/f.u.
**Calculated volume**: 23.46 A^3/atom
**Fermi-level density of states**: 1.22 states/eV/atom
**Energy relative to the elements**: -0.174 eV per atom

No. 9
Density functional theory data (PBE) for a relaxed CsMg2P2 crystal.

Cell lengths 8.351, 8.351, 3.223 Å; angles 90.00, 90.00, 90.00 degrees
Element x y z (fractional)
Cs 0.000 0.000 0.000
Cs 0.500 0.500 0.000
Mg 0.124 0.376 0.000
Mg 0.376 0.876 0.000
Mg 0.624 0.124 0.000
Mg 0.876 0.624 0.000
P 0.155 0.655 0.500
P 0.345 0.155 0.500
P 0.655 0.845 0.500
P 0.845 0.345 0.500

Properties
**Space-group type**: No. 127
**M_tot**: 0.00 μB/f.u.
**Calculated volume**: 22.47 A^3/atom
**Fermi-level density of states**: 0.30 states/eV/atom
**Energy relative to the elements**: -0.154 eV per atom

No. 10
Density functional theory data (PBE) for a relaxed LaPmNdTh2 crystal.

Cell lengths 7.239, 7.239, 6.950 Å; angles 90.00, 90.00, 86.63 degrees
Element x y z (fractional)
La 0.109 0.891 0.750
La 0.891 0.109 0.250
Pm 0.249 0.751 0.250
Pm 0.751 0.249 0.750
Nd 0.409 0.591 0.750
Nd 0.591 0.409 0.250
Th 0.248 0.248 0.000
Th 0.248 0.248 0.500
Th 0.752 0.752 0.000
Th 0.752 0.752 0.500

Properties
**Space-group type**: No. 63
**M_tot**: 0.00 μB/f.u.
**Calculated volume**: 36.35 A^3/atom
**Fermi-level density of states**: 1.56 states/eV/atom
**Energy relative to the elements**: 0.433 eV per atom

No. 11
Density functional theory data (PBE) for a relaxed InAgSeS crystal.

Cell lengths 7.276, 7.276, 7.276 Å; angles 131.31, 130.39, 72.06 degrees
Element x y z (fractional)
In 0.127 0.377 0.750
In 0.373 0.123 0.250
Ag 0.640 0.890 0.750
Ag 0.860 0.610 0.250
Se 0.250 0.996 0.746
Se 0.750 0.504 0.754
S 0.017 0.250 0.267
S 0.483 0.750 0.233

Properties
**Space-group type**: No. 24
**M_tot**: 0.00 μB/f.u.
**Calculated volume**: 26.94 A^3/atom
**Fermi-level density of states**: 0.01 states/eV/atom
**Formation energy without anion corrections**: -1.68 eV/f.u.

No. 12
Density functional theory data (PBE) for a relaxed PuReMo crystal.

Cell lengths 5.354, 5.354, 5.354 Å; angles 120.42, 111.89, 96.94 degrees
Element x y z (fractional)
Pu 0.386 0.136 0.250
Pu 0.614 0.864 0.750
Re 0.000 0.000 0.500
Re 0.000 0.500 0.000
Mo 0.000 0.500 0.500
Mo 0.500 0.500 0.000

Properties
**Space-group type**: No. 74
**M_tot**: 4.48 μB/f.u.
**Calculated volume**: 18.87 A^3/atom
**Fermi-level density of states**: 2.65 states/eV/atom
**Energy relative to the elements**: 0.179 eV per atom

No. 13
Density functional theory data (PBE) for a relaxed Y5Tm2Pd4 crystal.

Cell lengths 11.721, 11.721, 7.231 Å; angles 107.55, 107.55, 18.27 degrees
Element x y z (fractional)
Y 0.000 0.000 0.000
Y 0.365 0.365 0.602
Y 0.379 0.379 0.121
Y 0.621 0.621 0.879
Y 0.635 0.635 0.398
Tm 0.235 0.235 0.781
Tm 0.765 0.765 0.219
Pd 0.075 0.075 0.575
Pd 0.495 0.495 0.693
Pd 0.505 0.505 0.307
Pd 0.925 0.925 0.425

Properties
**Space-group type**: No. 12
**M_tot**: 0.00 μB/f.u.
**Calculated volume**: 26.96 A^3/atom
**Fermi-level density of states**: 0.84 states/eV/atom
**Energy relative to the elements**: -0.347 eV per atom

No. 14
Density functional theory data (PBE) for a relaxed K2ZrIr crystal.

Cell lengths 4.680, 4.680, 5.381 Å; angles 90.00, 90.00, 90.00 degrees
Element x y z (fractional)
K 0.000 0.000 0.241
K 0.000 0.000 0.759
Zr 0.500 0.500 0.500
Ir 0.500 0.500 0.000

Properties
**Space-group type**: No. 123
**M_tot**: 0.00 μB/f.u.
**Calculated volume**: 29.46 A^3/atom
**Fermi-level density of states**: 1.12 states/eV/atom
**Energy relative to the elements**: 1.100 eV per atom

No. 15
Density functional theory data (PBE) for a relaxed Tm6Ru5Pb crystal.

Cell lengths 4.806, 6.934, 7.622 Å; angles 90.00, 108.32, 90.00 degrees
Element x y z (fractional)
Tm 0.000 0.228 0.000
Tm 0.000 0.772 0.000
Tm 0.326 0.242 0.652
Tm 0.326 0.758 0.652
Tm 0.674 0.242 0.348
Tm 0.674 0.758 0.348
Ru 0.164 0.500 0.329
Ru 0.167 0.000 0.333
Ru 0.500 0.000 0.000
Ru 0.833 0.000 0.667
Ru 0.836 0.500 0.671
Pb 0.500 0.500 0.000

Properties
**Space-group type**: No. 10
**M_tot**: 0.00 μB/f.u.
**Calculated volume**: 20.09 A^3/atom
**Fermi-level density of states**: 0.44 states/eV/atom
**Energy relative to the elements**: -0.415 eV per atom

No. 16
Density functional theory data (PBE) for a relaxed BaZrTe2 crystal.

Cell lengths 10.699, 10.699, 10.699 Å; angles 22.27, 22.27, 22.27 degrees
Element x y z (fractional)
Ba 0.000 0.000 0.000
Zr 0.500 0.500 0.500
Te 0.111 0.111 0.111
Te 0.889 0.889 0.889

Properties
**Space-group type**: No. 166
**M_tot**: 0.33 μB/f.u.
**Calculated volume**: 38.55 A^3/atom
**Fermi-level density of states**: 1.00 states/eV/atom
**Formation energy without anion corrections**: -3.03 eV/f.u.

No. 17
Density functional theory data (PBE) for a relaxed PrBe5Au7 crystal.

Cell lengths 6.808, 6.808, 6.808 Å; angles 136.44, 97.78, 98.05 degrees
Element x y z (fractional)
Pr 0.000 0.000 0.000
Be 0.023 0.025 0.513
Be 0.023 0.510 0.998
Be 0.241 0.741 0.500
Be 0.512 0.025 0.002
Be 0.512 0.510 0.487
Au 0.240 0.542 0.698
Au 0.323 0.981 0.342
Au 0.332 0.332 0.000
Au 0.638 0.981 0.658
Au 0.656 0.656 0.000
Au 0.781 0.281 0.500
Au 0.844 0.542 0.302

Properties
**Space-group type**: No. 44
**M_tot**: 0.00 μB/f.u.
**Calculated volume**: 15.54 A^3/atom
**Fermi-level density of states**: 0.36 states/eV/atom
**Energy relative to the elements**: -0.253 eV per atom

No. 18
Density functional theory data (PBE) for a relaxed LiCeInAu crystal.

Cell lengths 4.969, 4.969, 4.969 Å; angles 60.00, 60.00, 60.00 degrees
Element x y z (fractional)
Li 0.000 0.000 0.000
Ce 0.750 0.750 0.750
In 0.250 0.250 0.250
Au 0.500 0.500 0.500

Properties
**Space-group type**: No. 216
**M_tot**: 0.95 μB/f.u.
**Calculated volume**: 21.69 A^3/atom
**Fermi-level density of states**: 1.57 states/eV/atom
**Energy relative to the elements**: -0.497 eV per atom

No. 19
Density functional theory data (PBE) for a relaxed CoPBr2 crystal.

Cell lengths 3.505, 3.505, 8.688 Å; angles 90.00, 90.00, 125.08 degrees
Element x y z (fractional)
Co 0.000 0.000 0.000
P 0.000 0.000 0.500
Br 0.500 0.500 0.203
Br 0.500 0.500 0.797

Properties
**Space-group type**: No. 65
**M_tot**: 1.83 μB/f.u.
**Calculated volume**: 21.84 A^3/atom
**Fermi-level density of states**: 1.44 states/eV/atom
**Formation energy without anion corrections**: 2.71 eV/f.u.

No. 20
Density functional theory data (PBE) for a relaxed LiGdC crystal.

Cell lengths 4.059, 4.059, 4.059 Å; angles 60.00, 60.00, 60.00 degrees
Element x y z (fractional)
Li 0.000 0.000 0.000
Gd 0.500 0.500 0.500
C 0.250 0.250 0.250

Properties
**Space-group type**: No. 216
**M_tot**: 6.98 μB/f.u.
**Calculated volume**: 15.76 A^3/atom
**Energy relative to the elements**: -0.081 eV per atom